# YPa2In9

A relaxed YPa2In9 crystal (PBE, Alexandria).

Unit cell a=4.6460 b=4.6460 c=13.9207 alpha=90.00 beta=90.00 gamma=90.00
Positions (direct):
Y 0.0000 0.0000 0.0000
Pa 0.0000 0.0000 0.3329
Pa 0.0000 0.0000 0.6671
In 0.5000 0.5000 0.0000
In 0.5000 0.5000 0.3339
In 0.5000 0.5000 0.6661
In 0.5000 0.0000 0.1663
In 0.5000 0.0000 0.5000
In 0.5000 0.0000 0.8337
In 0.0000 0.5000 0.1663
In 0.0000 0.5000 0.5000
In 0.0000 0.5000 0.8337

Theoretical density in g/cm3: 8.76
Space-group type: P4/mmm, No. 123

***

# YPaIn2

A relaxed YPaIn2 crystal (PBE, Alexandria).

Unit cell a=3.3354 b=3.3354 c=9.2269 alpha=90.00 beta=90.00 gamma=90.00
Positions (direct):
Y 0.5000 0.5000 0.0000
Pa 0.5000 0.5000 0.5000
In 0.0000 0.0000 0.7517
In 0.0000 0.0000 0.2483

Theoretical density in g/cm3: 8.89
Space-group type: P4/mmm, No. 123
Energy relative to the lowest polymorph listed for this composition in meV per atom: 0

***

# YPaIn

A relaxed YPaIn crystal (PBE, Alexandria).

Unit cell a=4.3964 b=3.2715 c=11.4844 alpha=81.81 beta=90.00 gamma=90.00
Positions (direct):
In 0.2500 0.1333 0.7334
In 0.7500 0.8667 0.2666
Y 0.2500 0.4401 0.1198
Y 0.7500 0.5599 0.8802
Pa 0.7500 0.7164 0.5672
Pa 0.2500 0.2836 0.4328

Theoretical density in g/cm3: 8.83
Space-group type: Cmcm, No. 63

***

# YPaIn6

A relaxed YPaIn6 crystal (PBE, Alexandria).

Unit cell a=4.6418 b=4.6418 c=9.2722 alpha=90.00 beta=90.00 gamma=90.00
Positions (direct):
Y 0.0000 0.0000 0.0000
Pa 0.0000 0.0000 0.5000
In 0.5000 0.5000 0.0000
In 0.5000 0.5000 0.5000
In 0.5000 0.0000 0.2494
In 0.5000 0.0000 0.7506
In 0.0000 0.5000 0.2494
In 0.0000 0.5000 0.7506

Theoretical density in g/cm3: 8.39
Space-group type: P4/mmm, No. 123

***

# Pa2Zn15In2

A relaxed Pa2Zn15In2 crystal (PBE, Alexandria).

Unit cell a=6.9220 b=6.9220 c=6.9220 alpha=83.35 beta=83.35 gamma=83.35
Positions (direct):
Pa 0.3430 0.3430 0.3430
Pa 0.6570 0.6570 0.6570
Zn 0.0000 0.5000 0.0000
Zn 0.0000 0.0000 0.5000
Zn 0.5000 0.0000 0.0000
Zn 0.6872 0.0000 0.3128
Zn 0.3128 0.6872 0.0000
Zn 0.0000 0.3128 0.6872
Zn 0.6872 0.3128 0.0000
Zn 0.0000 0.6872 0.3128
Zn 0.3128 0.0000 0.6872
Zn 0.6459 0.1719 0.6459
Zn 0.6459 0.6459 0.1719
Zn 0.1719 0.6459 0.6459
Zn 0.3541 0.8281 0.3541
Zn 0.3541 0.3541 0.8281
Zn 0.8281 0.3541 0.3541
In 0.1054 0.1054 0.1054
In 0.8946 0.8946 0.8946

Theoretical density in g/cm3: 8.54
Space-group type: R-3m, No. 166

***

# PaZn17In

A relaxed PaZn17In crystal (PBE, Alexandria).

Unit cell a=6.8391 b=6.8391 c=6.8391 alpha=82.56 beta=82.56 gamma=82.56
Positions (direct):
Pa 0.6604 0.6604 0.6604
Zn 0.2965 0.0019 0.6925
Zn 0.6925 0.2965 0.0019
Zn 0.0019 0.6925 0.2965
Zn 0.2965 0.6925 0.0019
Zn 0.0019 0.2965 0.6925
Zn 0.6925 0.0019 0.2965
Zn 0.3497 0.8485 0.3497
Zn 0.3497 0.3497 0.8485
Zn 0.8485 0.3497 0.3497
Zn 0.6504 0.1581 0.6504
Zn 0.6504 0.6504 0.1581
Zn 0.1581 0.6504 0.6504
Zn 0.9861 0.5028 0.9861
Zn 0.9861 0.9861 0.5028
Zn 0.5028 0.9861 0.9861
Zn 0.8996 0.8996 0.8996
Zn 0.1030 0.1030 0.1030
In 0.3735 0.3735 0.3735

Theoretical density in g/cm3: 7.75
Space-group type: R3m, No. 160

***

# Pa2ZnIn

A relaxed Pa2ZnIn crystal (PBE, Alexandria).

Unit cell a=5.1672 b=5.1672 c=5.1672 alpha=60.00 beta=60.00 gamma=60.00
Positions (direct):
Zn 0.0000 0.0000 0.0000
Pa 0.2500 0.2500 0.2500
Pa 0.7500 0.7500 0.7500
In 0.5000 0.5000 0.5000

Theoretical density in g/cm3: 10.93
Space-group type: Fm-3m, No. 225

***

# Pa2ZnIn

A relaxed Pa2ZnIn crystal (PBE, Alexandria).

Unit cell a=4.7660 b=4.3660 c=4.3660 alpha=90.00 beta=90.00 gamma=90.00
Positions (direct):
Zn 0.5000 0.5000 0.5000
Pa 0.0000 0.0000 0.5000
Pa 0.0000 0.5000 0.0000
In 0.5000 0.0000 0.0000

Theoretical density in g/cm3: 11.74
Space-group type: P4/mmm, No. 123

***

# PaZn4In

A relaxed PaZn4In crystal (PBE, Alexandria).

Unit cell a=5.4635 b=5.4635 c=5.4635 alpha=60.00 beta=60.00 gamma=60.00
Positions (direct):
Zn 0.6242 0.6242 0.1275
Zn 0.6242 0.1275 0.6242
Zn 0.6242 0.6242 0.6242
Zn 0.1275 0.6242 0.6242
Pa 0.2500 0.2500 0.2500
In 0.0000 0.0000 0.0000

Theoretical density in g/cm3: 8.75
Space-group type: F-43m, No. 216

***

# Pa2Zn6In

A relaxed Pa2Zn6In crystal (PBE, Alexandria).

Unit cell a=3.0644 b=8.1004 c=8.1004 alpha=120.00 beta=90.00 gamma=90.00
Positions (direct):
Pa 0.0000 0.3333 0.6667
Pa 0.0000 0.6667 0.3333
Zn 0.5000 0.3309 0.3309
Zn 0.5000 0.6691 0.6691
Zn 0.5000 0.0000 0.6691
Zn 0.5000 0.6691 0.0000
Zn 0.5000 0.3309 0.0000
Zn 0.5000 0.0000 0.3309
In 0.0000 0.0000 0.0000

Theoretical density in g/cm3: 9.24
Space-group type: P6/mmm, No. 191

***

# Pa2ZnIn

A relaxed Pa2ZnIn crystal (PBE, Alexandria).

Unit cell a=3.1161 b=3.1161 c=9.3518 alpha=90.00 beta=90.00 gamma=90.00
Positions (direct):
Zn 0.5000 0.5000 0.0000
Pa 0.0000 0.0000 0.7700
Pa 0.0000 0.0000 0.2300
In 0.5000 0.5000 0.5000

Theoretical density in g/cm3: 11.75
Space-group type: P4/mmm, No. 123

***

# PaZn9In2

A relaxed PaZn9In2 crystal (PBE, Alexandria).

Unit cell a=5.4589 b=5.4589 c=8.9282 alpha=72.20 beta=72.20 gamma=60.00
Positions (direct):
Pa 0.0000 0.0000 0.0000
Zn 0.6677 0.6677 0.9970
Zn 0.3323 0.3323 0.0030
Zn 0.5000 0.5000 0.5000
Zn 0.4150 0.4150 0.2505
Zn 0.9196 0.4150 0.2505
Zn 0.4150 0.9196 0.2505
Zn 0.5850 0.5850 0.7495
Zn 0.5850 0.0804 0.7495
Zn 0.0804 0.5850 0.7495
In 0.8628 0.8628 0.4115
In 0.1372 0.1372 0.5885

Theoretical density in g/cm3: 8.08
Space-group type: R-3m, No. 166

***

Number 1: calculated formation energy -232 meV/atom, final energy -4.407 eV/atom. Number 2: calculated formation energy -220 meV/atom, final energy -5.580 eV/atom. Number 3: calculated formation energy -7 meV/atom, final energy -6.240 eV/atom. Number 4: calculated formation energy -281 meV/atom, final energy -4.330 eV/atom. Number 5: calculated formation energy -73 meV/atom, final energy -2.366 eV/atom. Number 6: calculated formation energy -32 meV/atom, final energy -1.816 eV/atom. Number 7: calculated formation energy 239 meV/atom, final energy -5.512 eV/atom. Number 8: calculated formation energy 0 meV/atom, final energy -5.751 eV/atom. Number 9: calculated formation energy 85 meV/atom, final energy -2.804 eV/atom. Number 10: calculated formation energy -15 meV/atom, final energy -3.279 eV/atom. Number 11: calculated formation energy -6 meV/atom, final energy -5.757 eV/atom. Number 12: calculated formation energy 18 meV/atom, final energy -2.186 eV/atom.